AcErMg after structural relaxation. Source: Alexandria via LeMat-Bulk, functional PBE.

formation energy from the elements	0.0791	eV per atom
energy above the most stable polymorph in this dataset	84	meV/atom
theoretical density	6.92	g cm⁻³
Fermi-level density of states	1.2615	states/eV per atom
space-group type	P3m1 (156)
DFT total energy	-3.34	eV per atom

abc: 3.656 5.634 5.634
angles: 120.00 90.00 90.00
Fractional positions:
Ac (0.661, 0.667, 0.333)
Mg (0.192, 0.333, 0.667)
Er (0.147, 0.000, 0.000)